[1]
{
  "formula": "Ca4Dy3S8",
  "functional": "GGA-PBE",
  "state": "relaxed",
  "cell": [[5.578, -5.603, 0.000], [5.578, 5.603, 0.000], [-5.556, 0.000, 5.636]],
  "species": ["Ca", "Ca", "Ca", "Ca", "Dy", "Dy", "Dy", "S", "S", "S", "S", "S", "S", "S", "S"],
  "fractional_positions": [[0.000, 0.000, 0.000], [0.000, 0.500, 0.000], [0.500, 0.000, 0.000], [0.500, 0.500, 0.500], [0.000, 0.500, 0.500], [0.500, 0.000, 0.500], [0.500, 0.500, 0.000], [0.251, 0.749, 0.500], [0.252, 0.252, 0.507], [0.252, 0.748, 0.000], [0.259, 0.259, 0.007], [0.741, 0.741, 0.993], [0.748, 0.252, 0.000], [0.748, 0.748, 0.493], [0.749, 0.251, 0.500]],
  "e_form_raw_ev_per_atom": -2.070
}

[2]
{
  "formula": "CaDy4S7",
  "functional": "GGA-PBE",
  "state": "relaxed",
  "cell": [[6.442, -1.920, 0.000], [6.442, 1.920, 0.000], [-3.004, 0.000, 11.286]],
  "species": ["Ca", "Dy", "Dy", "Dy", "Dy", "S", "S", "S", "S", "S", "S", "S"],
  "fractional_positions": [[0.000, 0.000, 0.000], [0.121, 0.121, 0.419], [0.228, 0.228, 0.844], [0.427, 0.427, 0.621], [0.815, 0.815, 0.230], [0.076, 0.076, 0.632], [0.162, 0.162, 0.207], [0.368, 0.368, 0.069], [0.463, 0.463, 0.372], [0.605, 0.605, 0.898], [0.780, 0.780, 0.473], [0.850, 0.850, 0.769]],
  "e_form_raw_ev_per_atom": -2.069
}